[1]
# Hf2CoMoH (GGA-PBE, relaxed)
data_Hf2CoMoH
_space_group_name_H-M_alt 'P 1'
_space_group_IT_number 1
_cell_length_a 4.545
_cell_length_b 4.545
_cell_length_c 3.454
_cell_angle_alpha 90.00
_cell_angle_beta 90.00
_cell_angle_gamma 90.00
loop_
_space_group_symop_operation_xyz
'x,y,z'
loop_
_atom_site_label
_atom_site_fract_x
_atom_site_fract_y
_atom_site_fract_z
_atom_site_occupancy
Co1 0.500 0.500 0.500 1
Mo1 0.000 0.000 0.500 1
Hf1 0.000 0.500 0.000 1
Hf2 0.500 0.000 0.000 1
H1 0.000 0.000 0.000 1
# Total energy: -8.424 eV/atom
# Relative energy among the computed polymorphs: 78.0 meV/atom
# SG: P4/mmm, No. 123

[2]
# NaHfCoH2 (GGA-PBE, relaxed)
data_NaHfCoH2
_space_group_name_H-M_alt 'P 1'
_space_group_IT_number 1
_cell_length_a 3.687
_cell_length_b 4.580
_cell_length_c 3.687
_cell_angle_alpha 90.00
_cell_angle_beta 90.00
_cell_angle_gamma 90.00
loop_
_space_group_symop_operation_xyz
'x,y,z'
loop_
_atom_site_label
_atom_site_fract_x
_atom_site_fract_y
_atom_site_fract_z
_atom_site_occupancy
Co1 0.000 0.000 0.000 1
Hf1 0.500 0.500 0.500 1
H1 0.000 0.000 0.500 1
H2 0.500 0.000 0.000 1
Na1 0.000 0.500 0.000 1
# Total energy: -3.886 eV/atom
# SG: P4/mmm, No. 123

[3]
# HfCo2NiH (GGA-PBE, relaxed)
data_HfCo2NiH
_space_group_name_H-M_alt 'P 1'
_space_group_IT_number 1
_cell_length_a 3.779
_cell_length_b 3.779
_cell_length_c 3.681
_cell_angle_alpha 90.00
_cell_angle_beta 90.00
_cell_angle_gamma 90.00
loop_
_space_group_symop_operation_xyz
'x,y,z'
loop_
_atom_site_label
_atom_site_fract_x
_atom_site_fract_y
_atom_site_fract_z
_atom_site_occupancy
Ni1 0.000 0.000 0.500 1
Hf1 0.500 0.500 0.500 1
H1 0.000 0.000 0.000 1
Co1 0.000 0.500 0.000 1
Co2 0.500 0.000 0.000 1
# Total energy: -6.983 eV/atom
# Relative energy among the computed polymorphs: 0.0 meV/atom
# SG: P4/mmm, No. 123

[4]
# HfCo2NiH (GGA-PBE, relaxed)
data_HfCo2NiH
_space_group_name_H-M_alt 'P 1'
_space_group_IT_number 1
_cell_length_a 3.672
_cell_length_b 3.672
_cell_length_c 3.976
_cell_angle_alpha 90.00
_cell_angle_beta 90.00
_cell_angle_gamma 90.00
loop_
_space_group_symop_operation_xyz
'x,y,z'
loop_
_atom_site_label
_atom_site_fract_x
_atom_site_fract_y
_atom_site_fract_z
_atom_site_occupancy
Ni1 0.500 0.500 0.500 1
Hf1 0.000 0.000 0.500 1
H1 0.000 0.000 0.000 1
Co1 0.000 0.500 0.000 1
Co2 0.500 0.000 0.000 1
# Total energy: -6.916 eV/atom
# Relative energy among the computed polymorphs: 67.1 meV/atom
# SG: P4/mmm, No. 123

[5]
# HfCoNi2H (GGA-PBE, relaxed)
data_HfCoNi2H
_space_group_name_H-M_alt 'P 1'
_space_group_IT_number 1
_cell_length_a 3.613
_cell_length_b 3.613
_cell_length_c 4.128
_cell_angle_alpha 90.00
_cell_angle_beta 90.00
_cell_angle_gamma 90.00
loop_
_space_group_symop_operation_xyz
'x,y,z'
loop_
_atom_site_label
_atom_site_fract_x
_atom_site_fract_y
_atom_site_fract_z
_atom_site_occupancy
Ni1 0.000 0.500 0.000 1
Ni2 0.500 0.000 0.000 1
Hf1 0.000 0.000 0.500 1
H1 0.000 0.000 0.000 1
Co1 0.500 0.500 0.500 1
# Total energy: -6.691 eV/atom
# Relative energy among the computed polymorphs: 74.6 meV/atom
# SG: P4/mmm, No. 123

[6]
# HfCoNi2H (GGA-PBE, relaxed)
data_HfCoNi2H
_space_group_name_H-M_alt 'P 1'
_space_group_IT_number 1
_cell_length_a 3.711
_cell_length_b 3.711
_cell_length_c 3.845
_cell_angle_alpha 90.00
_cell_angle_beta 90.00
_cell_angle_gamma 90.00
loop_
_space_group_symop_operation_xyz
'x,y,z'
loop_
_atom_site_label
_atom_site_fract_x
_atom_site_fract_y
_atom_site_fract_z
_atom_site_occupancy
Ni1 0.000 0.500 0.000 1
Ni2 0.500 0.000 0.000 1
Hf1 0.500 0.500 0.500 1
H1 0.000 0.000 0.000 1
Co1 0.000 0.000 0.500 1
# Total energy: -6.766 eV/atom
# Relative energy among the computed polymorphs: 0.0 meV/atom
# SG: P4/mmm, No. 123

[7]
# HfCoHOs2 (GGA-PBE, relaxed)
data_HfCoHOs2
_space_group_name_H-M_alt 'P 1'
_space_group_IT_number 1
_cell_length_a 3.961
_cell_length_b 3.961
_cell_length_c 3.893
_cell_angle_alpha 90.00
_cell_angle_beta 90.00
_cell_angle_gamma 90.00
loop_
_space_group_symop_operation_xyz
'x,y,z'
loop_
_atom_site_label
_atom_site_fract_x
_atom_site_fract_y
_atom_site_fract_z
_atom_site_occupancy
Hf1 0.500 0.500 0.500 1
Os1 0.000 0.500 0.000 1
Os2 0.500 0.000 0.000 1
H1 0.000 0.000 0.000 1
Co1 0.000 0.000 0.500 1
# Total energy: -8.689 eV/atom
# SG: P4/mmm, No. 123

[8]
# Hf2CoHOs (GGA-PBE, relaxed)
data_Hf2CoHOs
_space_group_name_H-M_alt 'P 1'
_space_group_IT_number 1
_cell_length_a 4.532
_cell_length_b 4.532
_cell_length_c 3.327
_cell_angle_alpha 90.00
_cell_angle_beta 90.00
_cell_angle_gamma 90.00
loop_
_space_group_symop_operation_xyz
'x,y,z'
loop_
_atom_site_label
_atom_site_fract_x
_atom_site_fract_y
_atom_site_fract_z
_atom_site_occupancy
Hf1 0.000 0.500 0.000 1
Hf2 0.500 0.000 0.000 1
Os1 0.500 0.500 0.500 1
H1 0.000 0.000 0.000 1
Co1 0.000 0.000 0.500 1
# Total energy: -8.796 eV/atom
# SG: P4/mmm, No. 123

[9]
# HfCoHPd2 (GGA-PBE, relaxed)
data_HfCoHPd2
_space_group_name_H-M_alt 'P 1'
_space_group_IT_number 1
_cell_length_a 3.937
_cell_length_b 3.937
_cell_length_c 4.017
_cell_angle_alpha 90.00
_cell_angle_beta 90.00
_cell_angle_gamma 90.00
loop_
_space_group_symop_operation_xyz
'x,y,z'
loop_
_atom_site_label
_atom_site_fract_x
_atom_site_fract_y
_atom_site_fract_z
_atom_site_occupancy
Co1 0.000 0.000 0.500 1
Hf1 0.500 0.500 0.500 1
Pd1 0.000 0.500 0.000 1
Pd2 0.500 0.000 0.000 1
H1 0.000 0.000 0.000 1
# Total energy: -6.600 eV/atom
# SG: P4/mmm, No. 123

[10]
# HfCo2HPd (GGA-PBE, relaxed)
data_HfCo2HPd
_space_group_name_H-M_alt 'P 1'
_space_group_IT_number 1
_cell_length_a 3.793
_cell_length_b 3.793
_cell_length_c 4.017
_cell_angle_alpha 90.00
_cell_angle_beta 90.00
_cell_angle_gamma 90.00
loop_
_space_group_symop_operation_xyz
'x,y,z'
loop_
_atom_site_label
_atom_site_fract_x
_atom_site_fract_y
_atom_site_fract_z
_atom_site_occupancy
Co1 0.000 0.500 0.000 1
Co2 0.500 0.000 0.000 1
Hf1 0.000 0.000 0.500 1
Pd1 0.500 0.500 0.500 1
H1 0.000 0.000 0.000 1
# Total energy: -6.856 eV/atom
# Relative energy among the computed polymorphs: 11.8 meV/atom
# SG: P4/mmm, No. 123

[11]
# Hf2CoHPd (GGA-PBE, relaxed)
data_Hf2CoHPd
_space_group_name_H-M_alt 'P 1'
_space_group_IT_number 1
_cell_length_a 4.542
_cell_length_b 4.542
_cell_length_c 3.400
_cell_angle_alpha 90.00
_cell_angle_beta 90.00
_cell_angle_gamma 90.00
loop_
_space_group_symop_operation_xyz
'x,y,z'
loop_
_atom_site_label
_atom_site_fract_x
_atom_site_fract_y
_atom_site_fract_z
_atom_site_occupancy
Co1 0.000 0.000 0.500 1
Hf1 0.000 0.500 0.000 1
Hf2 0.500 0.000 0.000 1
Pd1 0.500 0.500 0.500 1
H1 0.000 0.000 0.000 1
# Total energy: -7.546 eV/atom
# SG: P4/mmm, No. 123

[12]
# HfCo2HPd (GGA-PBE, relaxed)
data_HfCo2HPd
_space_group_name_H-M_alt 'P 1'
_space_group_IT_number 1
_cell_length_a 3.878
_cell_length_b 3.878
_cell_length_c 3.815
_cell_angle_alpha 90.00
_cell_angle_beta 90.00
_cell_angle_gamma 90.00
loop_
_space_group_symop_operation_xyz
'x,y,z'
loop_
_atom_site_label
_atom_site_fract_x
_atom_site_fract_y
_atom_site_fract_z
_atom_site_occupancy
Co1 0.000 0.500 0.000 1
Co2 0.500 0.000 0.000 1
Hf1 0.500 0.500 0.500 1
Pd1 0.000 0.000 0.500 1
H1 0.000 0.000 0.000 1
# Total energy: -6.868 eV/atom
# Relative energy among the computed polymorphs: 0.0 meV/atom
# SG: P4/mmm, No. 123

[13]
# PmHfCo2H8 (GGA-PBE, relaxed)
data_PmHfCo2H8
_space_group_name_H-M_alt 'P 1'
_space_group_IT_number 1
_cell_length_a 4.469
_cell_length_b 4.469
_cell_length_c 6.536
_cell_angle_alpha 70.01
_cell_angle_beta 70.01
_cell_angle_gamma 60.00
loop_
_space_group_symop_operation_xyz
'x,y,z'
loop_
_atom_site_label
_atom_site_fract_x
_atom_site_fract_y
_atom_site_fract_z
_atom_site_occupancy
Pm1 0.500 0.500 0.500 1
Hf1 0.000 0.000 0.000 1
Co1 0.271 0.271 0.187 1
Co2 0.729 0.729 0.813 1
H1 0.186 0.186 0.443 1
H2 0.587 0.330 0.186 1
H3 0.814 0.814 0.557 1
H4 0.897 0.587 0.186 1
H5 0.103 0.413 0.814 1
H6 0.330 0.897 0.186 1
H7 0.670 0.103 0.814 1
H8 0.413 0.670 0.814 1
# Total energy: -4.838 eV/atom
# SG: R-3, No. 148

[14]
# HfCo2HPt (GGA-PBE, relaxed)
data_HfCo2HPt
_space_group_name_H-M_alt 'P 1'
_space_group_IT_number 1
_cell_length_a 3.898
_cell_length_b 3.898
_cell_length_c 3.813
_cell_angle_alpha 90.00
_cell_angle_beta 90.00
_cell_angle_gamma 90.00
loop_
_space_group_symop_operation_xyz
'x,y,z'
loop_
_atom_site_label
_atom_site_fract_x
_atom_site_fract_y
_atom_site_fract_z
_atom_site_occupancy
Co1 0.000 0.500 0.000 1
Co2 0.500 0.000 0.000 1
Hf1 0.500 0.500 0.500 1
Pt1 0.000 0.000 0.500 1
H1 0.000 0.000 0.000 1
# Total energy: -7.148 eV/atom
# Relative energy among the computed polymorphs: 15.8 meV/atom
# SG: P4/mmm, No. 123

[15]
# Hf2CoHPt (GGA-PBE, relaxed)
data_Hf2CoHPt
_space_group_name_H-M_alt 'P 1'
_space_group_IT_number 1
_cell_length_a 4.540
_cell_length_b 4.540
_cell_length_c 3.410
_cell_angle_alpha 90.00
_cell_angle_beta 90.00
_cell_angle_gamma 90.00
loop_
_space_group_symop_operation_xyz
'x,y,z'
loop_
_atom_site_label
_atom_site_fract_x
_atom_site_fract_y
_atom_site_fract_z
_atom_site_occupancy
Co1 0.000 0.000 0.500 1
Hf1 0.000 0.500 0.000 1
Hf2 0.500 0.000 0.000 1
Pt1 0.500 0.500 0.500 1
H1 0.000 0.000 0.000 1
# Total energy: -7.869 eV/atom
# Relative energy among the computed polymorphs: 0.0 meV/atom
# SG: P4/mmm, No. 123

[16]
# HfCo2HPt (GGA-PBE, relaxed)
data_HfCo2HPt
_space_group_name_H-M_alt 'P 1'
_space_group_IT_number 1
_cell_length_a 3.809
_cell_length_b 3.809
_cell_length_c 4.006
_cell_angle_alpha 90.00
_cell_angle_beta 90.00
_cell_angle_gamma 90.00
loop_
_space_group_symop_operation_xyz
'x,y,z'
loop_
_atom_site_label
_atom_site_fract_x
_atom_site_fract_y
_atom_site_fract_z
_atom_site_occupancy
Co1 0.000 0.500 0.000 1
Co2 0.500 0.000 0.000 1
Hf1 0.000 0.000 0.500 1
Pt1 0.500 0.500 0.500 1
H1 0.000 0.000 0.000 1
# Total energy: -7.164 eV/atom
# Relative energy among the computed polymorphs: 0.0 meV/atom
# SG: P4/mmm, No. 123

[17]
# Hf2CoHPt (GGA-PBE, relaxed)
data_Hf2CoHPt
_space_group_name_H-M_alt 'P 1'
_space_group_IT_number 1
_cell_length_a 4.905
_cell_length_b 3.157
_cell_length_c 4.905
_cell_angle_alpha 90.00
_cell_angle_beta 90.00
_cell_angle_gamma 90.00
loop_
_space_group_symop_operation_xyz
'x,y,z'
loop_
_atom_site_label
_atom_site_fract_x
_atom_site_fract_y
_atom_site_fract_z
_atom_site_occupancy
Co1 0.000 0.000 0.000 1
Hf1 0.000 0.000 0.500 1
Hf2 0.500 0.000 0.000 1
Pt1 0.500 0.500 0.500 1
H1 0.000 0.500 0.000 1
# Total energy: -7.452 eV/atom
# Relative energy among the computed polymorphs: 416.8 meV/atom
# SG: P4/mmm, No. 123

[18]
# Hf2CoReH (GGA-PBE, relaxed)
data_Hf2CoReH
_space_group_name_H-M_alt 'P 1'
_space_group_IT_number 1
_cell_length_a 4.526
_cell_length_b 4.526
_cell_length_c 3.355
_cell_angle_alpha 90.00
_cell_angle_beta 90.00
_cell_angle_gamma 90.00
loop_
_space_group_symop_operation_xyz
'x,y,z'
loop_
_atom_site_label
_atom_site_fract_x
_atom_site_fract_y
_atom_site_fract_z
_atom_site_occupancy
Re1 0.500 0.500 0.500 1
Hf1 0.000 0.500 0.000 1
Hf2 0.500 0.000 0.000 1
H1 0.000 0.000 0.000 1
Co1 0.000 0.000 0.500 1
# Total energy: -8.954 eV/atom
# Relative energy among the computed polymorphs: 0.0 meV/atom
# SG: P4/mmm, No. 123

[19]
# Hf2CoReH (GGA-PBE, relaxed)
data_Hf2CoReH
_space_group_name_H-M_alt 'P 1'
_space_group_IT_number 1
_cell_length_a 4.492
_cell_length_b 4.492
_cell_length_c 3.498
_cell_angle_alpha 90.00
_cell_angle_beta 90.00
_cell_angle_gamma 90.00
loop_
_space_group_symop_operation_xyz
'x,y,z'
loop_
_atom_site_label
_atom_site_fract_x
_atom_site_fract_y
_atom_site_fract_z
_atom_site_occupancy
Re1 0.000 0.000 0.500 1
Hf1 0.000 0.500 0.000 1
Hf2 0.500 0.000 0.000 1
H1 0.000 0.000 0.000 1
Co1 0.500 0.500 0.500 1
# Total energy: -8.780 eV/atom
# Relative energy among the computed polymorphs: 173.6 meV/atom
# SG: P4/mmm, No. 123

[20]
# Hf2CoHRh (GGA-PBE, relaxed)
data_Hf2CoHRh
_space_group_name_H-M_alt 'P 1'
_space_group_IT_number 1
_cell_length_a 4.482
_cell_length_b 4.482
_cell_length_c 3.400
_cell_angle_alpha 90.00
_cell_angle_beta 90.00
_cell_angle_gamma 90.00
loop_
_space_group_symop_operation_xyz
'x,y,z'
loop_
_atom_site_label
_atom_site_fract_x
_atom_site_fract_y
_atom_site_fract_z
_atom_site_occupancy
Rh1 0.500 0.500 0.500 1
Hf1 0.000 0.500 0.000 1
Hf2 0.500 0.000 0.000 1
H1 0.000 0.000 0.000 1
Co1 0.000 0.000 0.500 1
# Total energy: -8.086 eV/atom
# Relative energy among the computed polymorphs: 0.0 meV/atom
# SG: P4/mmm, No. 123